Record 1
Entry from the Alexandria database: a relaxed Dy13Sc2 crystal (GGA-PBE).

Computed properties:
**Calculated formation energy**: 0.071 eV/atom
**VASP energy**: -71.419 eV for the cell shown

Cell: 6.526 8.830 8.846 Å, 65.62 81.60 81.50°
Space group P-1 (No. 2)
One atom of each set of equivalent atoms:
Dy  0.000  0.000  0.000 (multiplicity 1)
Dy  0.094  0.768  0.429 (multiplicity 2)
Dy  0.196  0.201  0.201 (multiplicity 2)
Dy  0.285  0.623  0.979 (multiplicity 2)
Dy  0.308  0.957  0.640 (multiplicity 2)
Dy  0.398  0.402  0.402 (multiplicity 2)
Dy  0.489  0.172  0.836 (multiplicity 2)
Sc  0.105  0.441  0.757 (multiplicity 2)


Record 2
Entry from the Alexandria database: a relaxed Dy3Sc8 crystal (GGA-PBE).

Computed properties:
**Calculated formation energy**: 0.605 eV/atom
**VASP energy**: -173.417 eV for the cell shown

Cell: 9.9848 9.9848 10.9195 Å, 90.00 90.00 120.00°
Space group R-3 (No. 148, hexagonal axes)
One atom of each set of equivalent atoms:
Dy  0.0000  0.5000  0.0000 (multiplicity 9)
Sc  0.0000  0.0000  0.3509 (multiplicity 6)
Sc  0.0244  0.1943  0.8879 (multiplicity 18)


Record 3
Entry from the Alexandria database: a relaxed Dy5Sc2 crystal (GGA-PBE).

Computed properties:
**Polymorph energy (0 for the lowest one)**: 206 meV/atom
**Calculated formation energy**: 0.226 eV/atom
**VASP energy**: -68.184 eV for the cell shown

Cell: 11.248 11.248 3.377 Å, 90.00 90.00 90.00°
Space group P4/mbm (No. 127)
One atom of each set of equivalent atoms:
Dy  0.000  0.500  0.000 (multiplicity 2)
Dy  0.049  0.204  0.000 (multiplicity 8)
Sc  0.189  0.689  0.500 (multiplicity 4)


Record 4
Entry from the Alexandria database: a relaxed Dy8Sc crystal (GGA-PBE).

Computed properties:
**Calculated formation energy**: 0.030 eV/atom
**VASP energy**: -85.764 eV for the cell shown

Cell: 10.544 10.544 4.956 Å, 90.00 90.00 90.00°
Space group I4/mmm (No. 139)
One atom of each set of equivalent atoms:
Dy  0.000  0.331  0.000 (multiplicity 8)
Dy  0.165  0.165  0.500 (multiplicity 8)
Sc  0.000  0.000  0.000 (multiplicity 2)


Record 5
Entry from the Alexandria database: a relaxed Dy3Sc7 crystal (GGA-PBE).

Computed properties:
**Calculated formation energy**: 0.055 eV/atom
**VASP energy**: -115.154 eV for the cell shown

Cell: 17.081 4.720 6.695 Å, 90.00 101.70 90.00°
Space group C2/m (No. 12)
One atom of each set of equivalent atoms:
Dy  0.000  0.000  0.000 (multiplicity 2)
Dy  0.197  0.000  0.602 (multiplicity 4)
Sc  0.000  0.000  0.500 (multiplicity 2)
Sc  0.098  0.500  0.300 (multiplicity 4)
Sc  0.100  0.500  0.802 (multiplicity 4)
Sc  0.200  0.000  0.099 (multiplicity 4)


Record 6
Entry from the Alexandria database: a relaxed Dy3Sc crystal (GGA-PBE).

Computed properties:
**Polymorph energy (0 for the lowest one)**: 22 meV/atom
**Calculated formation energy**: 0.040 eV/atom
**VASP energy**: -19.977 eV for the cell shown

Cell: 4.909 4.909 4.909 Å, 90.00 90.00 90.00°
Space group Pm-3m (No. 221)
One atom of each set of equivalent atoms:
Dy  0.000  0.000  0.500 (multiplicity 3)
Sc  0.500  0.500  0.500 (multiplicity 1)


Record 7
Entry from the Alexandria database: a relaxed Dy8Sc3 crystal (GGA-PBE).

Computed properties:
**Polymorph energy (0 for the lowest one)**: 0 meV/atom
**Calculated formation energy**: 0.044 eV/atom
**VASP energy**: -165.974 eV for the cell shown

Cell: 3.4794 3.4794 92.5034 Å, 90.00 90.00 120.00°
Space group R-3m (No. 166, hexagonal axes)
One atom of each set of equivalent atoms:
Dy  0.0000  0.0000  0.0471 (multiplicity 6)
Dy  0.0000  0.0000  0.1373 (multiplicity 6)
Dy  0.0000  0.0000  0.3176 (multiplicity 6)
Dy  0.0000  0.0000  0.4120 (multiplicity 6)
Sc  0.0000  0.0000  0.2254 (multiplicity 6)
Sc  0.0000  0.0000  0.5000 (multiplicity 3)


Record 8
Entry from the Alexandria database: a relaxed Dy4Sc3 crystal (GGA-PBE).

Computed properties:
**Polymorph energy (0 for the lowest one)**: 54 meV/atom
**Calculated formation energy**: 0.103 eV/atom
**VASP energy**: -73.359 eV for the cell shown

Cell: 9.273 5.511 8.542 Å, 90.00 113.58 90.00°
Space group C2/m (No. 12)
One atom of each set of equivalent atoms:
Dy  0.138  0.000  0.410 (multiplicity 4)
Dy  0.212  0.500  0.133 (multiplicity 4)
Sc  0.000  0.000  0.000 (multiplicity 2)
Sc  0.065  0.500  0.705 (multiplicity 4)


Record 9
Entry from the Alexandria database: a relaxed DySc5 crystal (GGA-PBE).

Computed properties:
**Polymorph energy (0 for the lowest one)**: 80 meV/atom
**Calculated formation energy**: 0.093 eV/atom
**VASP energy**: -71.399 eV for the cell shown

Cell: 5.287 16.380 3.564 Å, 90.00 90.00 90.00°
Space group Cmmm (No. 65)
One atom of each set of equivalent atoms:
Dy  0.000  0.000  0.000 (multiplicity 2)
Sc  0.000  0.183  0.500 (multiplicity 4)
Sc  0.000  0.345  0.000 (multiplicity 4)
Sc  0.000  0.500  0.500 (multiplicity 2)


Record 10
Entry from the Alexandria database: a relaxed Dy3Sc crystal (GGA-PBE).

Computed properties:
**Polymorph energy (0 for the lowest one)**: 0 meV/atom
**Calculated formation energy**: 0.018 eV/atom
**VASP energy**: -40.133 eV for the cell shown

Cell: 7.0784 7.0784 5.5199 Å, 90.00 90.00 120.00°
Space group P6_3/mmc (No. 194)
One atom of each set of equivalent atoms:
Dy  0.1691  0.3383  0.2500 (multiplicity 6)
Sc  0.3333  0.6667  0.7500 (multiplicity 2)


Record 11
Entry from the Alexandria database: a relaxed Dy7Sc3 crystal (GGA-PBE).

Computed properties:
**Calculated formation energy**: 0.206 eV/atom
**VASP energy**: -98.301 eV for the cell shown

Cell: 10.5956 10.5956 6.1760 Å, 90.00 90.00 120.00°
Space group P6_3mc (No. 186)
One atom of each set of equivalent atoms:
Dy  0.0545  0.5272  0.0000 (multiplicity 6)
Dy  0.1196  0.2391  0.8394 (multiplicity 6)
Dy  0.3333  0.6667  0.7341 (multiplicity 2)
Sc  0.2182  0.4364  0.3525 (multiplicity 6)


Record 12
Entry from the Alexandria database: a relaxed Dy3Sc crystal (GGA-PBE).

Computed properties:
**Polymorph energy (0 for the lowest one)**: 23 meV/atom
**Calculated formation energy**: 0.041 eV/atom
**VASP energy**: -39.949 eV for the cell shown

Cell: 4.929 4.929 9.736 Å, 90.00 90.00 90.00°
Space group I4/mmm (No. 139)
One atom of each set of equivalent atoms:
Dy  0.000  0.000  0.000 (multiplicity 2)
Dy  0.000  0.500  0.250 (multiplicity 4)
Sc  0.000  0.000  0.500 (multiplicity 2)


Record 13
Entry from the Alexandria database: a relaxed Dy4ScSe7 crystal (GGA-PBE).

Computed properties:
**Formation energy without anion corrections**: -2117.4 kJ/mol of formula units
**VASP energy**: -142.154 eV for the cell shown

Cell: 13.200 3.936 12.074 Å, 90.00 104.54 90.00°
Space group Cm (No. 8)
One atom of each set of equivalent atoms:
Dy  0.000  0.000  0.000 (multiplicity 2)
Dy  0.087  0.500  0.376 (multiplicity 2)
Dy  0.189  0.000  0.763 (multiplicity 2)
Dy  0.387  0.500  0.568 (multiplicity 2)
Sc  0.276  0.500  0.148 (multiplicity 2)
Se  0.048  0.500  0.622 (multiplicity 2)
Se  0.132  0.500  0.930 (multiplicity 2)
Se  0.155  0.000  0.218 (multiplicity 2)
Se  0.226  0.000  0.520 (multiplicity 2)
Se  0.350  0.500  0.787 (multiplicity 2)
Se  0.382  0.000  0.076 (multiplicity 2)
Se  0.423  0.500  0.348 (multiplicity 2)


Record 14
Entry from the Alexandria database: a relaxed DyScSe3 crystal (GGA-PBE).

Computed properties:
**Formation energy without anion corrections**: -849.5 kJ/mol of formula units
**Polymorph energy (0 for the lowest one)**: 0 meV/atom
**VASP energy**: -60.383 eV for the cell shown

Cell: 7.747 3.942 8.062 Å, 90.00 96.06 90.00°
Space group P2_1/m (No. 11)
One atom of each set of equivalent atoms:
Dy  0.122  0.250  0.274 (multiplicity 2)
Sc  0.352  0.750  0.828 (multiplicity 2)
Se  0.125  0.250  0.892 (multiplicity 2)
Se  0.194  0.750  0.529 (multiplicity 2)
Se  0.403  0.750  0.177 (multiplicity 2)


Record 15
Entry from the Alexandria database: a relaxed DySc2Se crystal (GGA-PBE).

Computed properties:
**Formation energy without anion corrections**: -283.3 kJ/mol of formula units
**Polymorph energy (0 for the lowest one)**: 66 meV/atom
**VASP energy**: -71.058 eV for the cell shown

Cell: 3.6326 3.6326 26.4012 Å, 90.00 90.00 120.00°
Space group R3m (No. 160, hexagonal axes)
One atom of each set of equivalent atoms:
Dy  0.0000  0.0000  0.0000 (multiplicity 3)
Sc  0.0000  0.0000  0.5643 (multiplicity 3)
Sc  0.0000  0.0000  0.7693 (multiplicity 3)
Se  0.0000  0.0000  0.1665 (multiplicity 3)


Record 16
Entry from the Alexandria database: a relaxed DySc4Se5 crystal (GGA-PBE).

Computed properties:
**Formation energy without anion corrections**: -1555.9 kJ/mol of formula units
**VASP energy**: -126.953 eV for the cell shown

Cell: 3.913 5.541 19.628 Å, 90.00 90.00 90.00°
Space group Immm (No. 71)
One atom of each set of equivalent atoms:
Dy  0.000  0.000  0.000 (multiplicity 2)
Sc  0.000  0.000  0.203 (multiplicity 4)
Sc  0.000  0.000  0.400 (multiplicity 4)
Se  0.000  0.500  0.000 (multiplicity 2)
Se  0.000  0.500  0.199 (multiplicity 4)
Se  0.000  0.500  0.394 (multiplicity 4)


Record 17
Entry from the Alexandria database: a relaxed Dy3ScSe4 crystal (GGA-PBE).

Computed properties:
**Formation energy without anion corrections**: -1311.0 kJ/mol of formula units
**VASP energy**: -95.327 eV for the cell shown

Cell: 8.133 11.403 3.991 Å, 90.00 90.00 90.00°
Space group Cmmm (No. 65)
One atom of each set of equivalent atoms:
Dy  0.000  0.000  0.000 (multiplicity 2)
Dy  0.250  0.250  0.500 (multiplicity 4)
Sc  0.000  0.500  0.000 (multiplicity 2)
Se  0.000  0.255  0.000 (multiplicity 4)
Se  0.240  0.500  0.500 (multiplicity 4)


Record 18
Entry from the Alexandria database: a relaxed DyScSe crystal (GGA-PBE).

Computed properties:
**Formation energy without anion corrections**: -301.0 kJ/mol of formula units
**Polymorph energy (0 for the lowest one)**: 0 meV/atom
**VASP energy**: -17.537 eV for the cell shown

Cell: 3.7604 3.7604 6.2272 Å, 90.00 90.00 120.00°
Space group P3m1 (No. 156)
One atom of each set of equivalent atoms:
Dy  0.0000  0.0000  0.0000 (multiplicity 1)
Sc  0.3333  0.6667  0.5607 (multiplicity 1)
Se  0.6667  0.3333  0.3011 (multiplicity 1)


Record 19
Entry from the Alexandria database: a relaxed Dy4ScSe5 crystal (GGA-PBE).

Computed properties:
**Formation energy without anion corrections**: -1645.0 kJ/mol of formula units
**VASP energy**: -118.424 eV for the cell shown

Cell: 4.035 4.035 28.647 Å, 90.00 90.00 90.00°
Space group I4/mmm (No. 139)
One atom of each set of equivalent atoms:
Dy  0.000  0.000  0.101 (multiplicity 4)
Dy  0.000  0.000  0.305 (multiplicity 4)
Sc  0.000  0.000  0.500 (multiplicity 2)
Se  0.000  0.000  0.000 (multiplicity 2)
Se  0.000  0.000  0.202 (multiplicity 4)
Se  0.000  0.000  0.405 (multiplicity 4)


Record 20
Entry from the Alexandria database: a relaxed DyScSe crystal (GGA-PBE).

Computed properties:
**Formation energy without anion corrections**: -263.3 kJ/mol of formula units
**Polymorph energy (0 for the lowest one)**: 130 meV/atom
**VASP energy**: -34.294 eV for the cell shown

Cell: 3.545 3.545 11.265 Å, 90.00 90.00 90.00°
Space group I4mm (No. 107)
One atom of each set of equivalent atoms:
Dy  0.000  0.000  0.000 (multiplicity 2)
Sc  0.000  0.000  0.303 (multiplicity 2)
Se  0.000  0.000  0.679 (multiplicity 2)